1.
# BaTaMoO2

BaTaMoO2 after structural relaxation (PBE with a Hubbard U, the Alexandria database).

total energy = -5.02 eV per atom
volume = 134.9 Å³ per cell
mass density = 5.49 g/cm3

Cell: 4.3847 4.3847 7.0188 Å, 90.00 90.00 90.00°
Space group P4/mmm (No. 123)
Inequivalent atoms, fractional coordinates:
Ba 0.0000 0.0000 0.0000 (multiplicity 1)
Ta 0.5000 0.5000 0.5000 (multiplicity 1)
Mo 0.0000 0.0000 0.5000 (multiplicity 1)
O 0.0000 0.5000 0.0000 (multiplicity 2)


2.
# BaTbMoO6

BaTbMoO6 after structural relaxation (PBE with a Hubbard U, the Alexandria database).

total energy = -7.11 eV per atom
volume = 314.1 Å³ per cell
mass density = 5.16 g/cm3

Cell: 5.5708 10.0536 5.6113 Å, 90.00 91.68 90.00°
Space group C2 (No. 5)
Inequivalent atoms, fractional coordinates:
Ba 0.0000 0.0000 0.0000 (multiplicity 2)
Tb 0.0000 0.3321 0.5000 (multiplicity 2)
Mo 0.0000 0.6539 0.5000 (multiplicity 2)
O 0.1270 0.5188 0.3067 (multiplicity 4)
O 0.1591 0.7978 0.2979 (multiplicity 4)
O 0.2227 0.1848 0.2950 (multiplicity 4)